Entry 1:
An optimized crystal structure of Re2SiPb. Source: Alexandria, functional PBE-GGA.

Output
**Energy relative to the lowest polymorph listed for this composition**: 352 meV per atom
**Energy relative to the elements, uncorrected**: 67.7 kJ/mol of atoms

Lattice parameters (Å, degrees): 3.1601 4.1170 10.4490 90.00 90.00 90.00
Space group Imm2 (No. 44)
Asymmetric unit:
Re  0.0000  0.0000  0.0000 [2 per cell]
Re  0.0000  0.5000  0.2331 [2 per cell]
Si  0.0000  0.5000  0.6794 [2 per cell]
Pb  0.0000  0.0000  0.4244 [2 per cell]

---

Entry 2:
An optimized crystal structure of PrMg6Tl2. Source: Alexandria, functional PBE-GGA.

Output
**E_form**: -100 meV/atom

Lattice parameters (Å, degrees): 4.6228 4.6228 10.6146 90.00 90.00 90.00
Space group P4/mmm (No. 123)
Asymmetric unit:
Pr  0.0000  0.0000  0.0000 [1 per cell]
Mg  0.0000  0.0000  0.5000 [1 per cell]
Mg  0.0000  0.5000  0.2979 [4 per cell]
Mg  0.5000  0.5000  0.5000 [1 per cell]
Tl  0.5000  0.5000  0.1350 [2 per cell]

---

Entry 3:
An optimized crystal structure of Sm4AgPd2. Source: Alexandria, functional PBE-GGA.

Output
**E_form**: -464 meV/atom
**Energy relative to the lowest polymorph listed for this composition**: 42 meV per atom

Lattice parameters (Å, degrees): 5.0753 5.0753 24.9048 90.00 90.00 120.00
Space group R-3m (No. 166, hexagonal axes)
Asymmetric unit:
Sm  0.0000  0.0000  0.1217 [6 per cell]
Sm  0.0000  0.0000  0.3726 [6 per cell]
Ag  0.0000  0.0000  0.5000 [3 per cell]
Pd  0.0000  0.0000  0.2522 [6 per cell]

---

Entry 4:
An optimized crystal structure of TiVCo. Source: Alexandria, functional PBE-GGA.

Output
**E_form**: -72 meV/atom
**Energy relative to the lowest polymorph listed for this composition**: 165 meV per atom

Lattice parameters (Å, degrees): 8.4914 3.9995 4.9660 90.00 90.00 90.00
Space group Pnma (No. 62)
Asymmetric unit:
Ti  0.2135  0.2500  0.1346 [4 per cell]
V  0.0357  0.2500  0.6294 [4 per cell]
Co  0.0726  0.7500  0.9097 [4 per cell]

---

Entry 5:
An optimized crystal structure of Nd2SmTm2Th2. Source: Alexandria, functional PBE-GGA.

Output
**E_form**: 140 meV/atom

Lattice parameters (Å, degrees): 12.5309 5.9394 6.2762 90.00 100.65 90.00
Space group C2/m (No. 12)
Asymmetric unit:
Nd  0.0817  0.0000  0.3142 [4 per cell]
Sm  0.0000  0.5000  0.0000 [2 per cell]
Tm  0.1439  0.5000  0.5822 [4 per cell]
Th  0.2157  0.0000  0.8684 [4 per cell]

---

Entry 6:
An optimized crystal structure of Pr2Si2Se7. Source: Alexandria, functional PBE-GGA.

Output
**Energy relative to the elements, uncorrected**: -87.2 kJ/mol of atoms

Lattice parameters (Å, degrees): 9.6270 11.3906 6.2099 90.00 100.82 90.00
Space group C2/m (No. 12)
Asymmetric unit:
Pr  0.0000  0.2104  0.0000 [4 per cell]
Si  0.2297  0.5000  0.4218 [4 per cell]
Se  0.0000  0.5000  0.5000 [2 per cell]
Se  0.1028  0.0000  0.2672 [4 per cell]
Se  0.2446  0.1693  0.7642 [8 per cell]

---

Entry 7:
An optimized crystal structure of TbPuInPb. Source: Alexandria, functional PBE-GGA.

Output
**E_form**: -251 meV/atom

Lattice parameters (Å, degrees): 7.6483 7.6483 7.6483 90.00 90.00 90.00
Space group F-43m (No. 216)
Asymmetric unit:
Tb  0.0000  0.0000  0.0000 [4 per cell]
Pu  0.0000  0.0000  0.5000 [4 per cell]
In  0.2500  0.2500  0.7500 [4 per cell]
Pb  0.2500  0.2500  0.2500 [4 per cell]

---

Entry 8:
An optimized crystal structure of SrMg2Hg. Source: Alexandria, functional PBE-GGA.

Output
**E_form**: -197 meV/atom

Lattice parameters (Å, degrees): 3.7111 4.7000 6.8757 90.00 105.41 90.00
Space group Pm (No. 6)
Asymmetric unit:
Sr  0.0000  0.0000  0.0000 [1 per cell]
Mg  0.3213  0.5000  0.6417 [1 per cell]
Mg  0.7399  0.0000  0.4789 [1 per cell]
Hg  0.6133  0.5000  0.2321 [1 per cell]

---

Uncorrected energy, respectively: -0.5737, -0.1632, -0.3713, -0.5962, -0.3891, -0.3657, -0.4853, -0.1095 Ry/atom.